1.
DFT (PBE) results for a geometry-optimized In2TeRu structure.

a b c (Å): 3.3924 3.3924 27.5279
angles (deg): 90.00 90.00 120.00
Closest atoms and distances in Å follow each position.
Sites, in units of the cell vectors:
In (0.0000, 0.0000, 0.2356)  3 Ru 2.73
In (0.0000, 0.0000, 0.7644)  3 Ru 2.73
In (0.3333, 0.6667, 0.4311)  3 Ru 2.73
In (0.3333, 0.6667, 0.9023)  3 Ru 2.73
In (0.6667, 0.3333, 0.0977)  3 Ru 2.73
In (0.6667, 0.3333, 0.5689)  3 Ru 2.73
Te (0.0000, 0.0000, 0.0000)  6 In 3.33, 6 Te 3.39
Te (0.3333, 0.6667, 0.6667)  6 In 3.33, 6 Te 3.39
Te (0.6667, 0.3333, 0.3333)  6 In 3.33, 6 Te 3.39
Ru (0.0000, 0.0000, 0.5000)  6 In 2.73
Ru (0.3333, 0.6667, 0.1667)  6 In 2.73
Ru (0.6667, 0.3333, 0.8333)  6 In 2.73

Computed properties:
total magnetization: 0.00 μB per formula unit
ΔE_f (raw): 241 meV/atom
E: -50.8 eV/cell
space group: R-3m (166)
Fermi-level density of states: 3.5 states/eV/f.u.

2.
DFT (PBE) results for a geometry-optimized In2TeRu structure.

a b c (Å): 6.4573 6.4573 12.7179
angles (deg): 90.00 90.00 90.00
Closest atoms and distances in Å follow each position.
Sites, in units of the cell vectors:
In (0.2006, 0.2500, 0.1250)  2 Ru 2.61
In (0.2500, 0.7006, 0.3750)  2 Ru 2.61
In (0.2500, 0.7994, 0.8750)  2 Ru 2.61
In (0.2994, 0.2500, 0.6250)  2 Ru 2.61
In (0.7006, 0.7500, 0.6250)  2 Ru 2.61
In (0.7500, 0.2006, 0.8750)  2 Ru 2.61
In (0.7500, 0.2994, 0.3750)  2 Ru 2.61
In (0.7994, 0.7500, 0.1250)  2 Ru 2.61
Te (0.0000, 0.0000, 0.5000)  4 In 2.98
Te (0.0000, 0.5000, 0.7500)  4 In 2.98
Te (0.5000, 0.0000, 0.2500)  4 In 2.98
Te (0.5000, 0.5000, 0.0000)  4 In 2.98
Ru (0.0000, 0.0000, 0.0000)  4 In 2.61
Ru (0.0000, 0.5000, 0.2500)  4 In 2.61
Ru (0.5000, 0.0000, 0.7500)  4 In 2.61
Ru (0.5000, 0.5000, 0.5000)  4 In 2.61

Computed properties:
total magnetization: 0.00 μB per formula unit
ΔE_f (raw): 521 meV/atom
E: -63.2 eV/cell
space group: I-42d (122)
Fermi-level density of states: 0.0 states/eV/f.u.

3.
DFT (PBE) results for a geometry-optimized InTe2Ru structure.

a b c (Å): 3.2649 3.2649 9.1694
angles (deg): 90.00 90.00 90.00
Closest atoms and distances in Å follow each position.
Sites, in units of the cell vectors:
In (0.0000, 0.0000, 0.0000)  4 In 3.26
Te (0.5000, 0.5000, 0.3188)  4 Ru 2.84
Te (0.5000, 0.5000, 0.6812)  4 Ru 2.84
Ru (0.0000, 0.0000, 0.5000)  8 Te 2.84

Computed properties:
total magnetization: 0.28 μB per formula unit
ΔE_f (raw): 106 meV/atom
E: -17.9 eV/cell
space group: P4/mmm (123)
Fermi-level density of states: 3.3 states/eV/f.u.

4.
DFT (PBE) results for a geometry-optimized InTe2Ru structure.

a b c (Å): 9.9888 3.4242 6.6513
angles (deg): 90.00 112.98 90.00
Closest atoms and distances in Å follow each position.
Sites, in units of the cell vectors:
In (0.0000, 0.0000, 0.0000)  3 Ru 2.78-2.80
In (0.5000, 0.5000, 0.0000)  3 Ru 2.78-2.80
Te (0.1921, 0.0000, 0.6742)  2 Ru 2.66
Te (0.3711, 0.0000, 0.3084)  2 Ru 2.68
Te (0.6921, 0.5000, 0.6742)  2 Ru 2.66
Te (0.8711, 0.5000, 0.3084)  2 Ru 2.68
Ru (0.2179, 0.5000, 0.9926)  4 Te 2.66-2.68, 3 In 2.78-2.80
Ru (0.7179, 0.0000, 0.9926)  4 Te 2.66-2.68, 3 In 2.78-2.80

Computed properties:
total magnetization: 0.00 μB per formula unit
ΔE_f (raw): -7 meV/atom
E: -36.7 eV/cell
space group: Cm (8)
Fermi-level density of states: 2.6 states/eV/f.u.